The following is a DFT calculation (PBE-GGA) of a relaxed structure of AlCdSb2Te.

Cell and atoms, written as POSCAR:
```
AlCdSb2Te
1.0
5.3351 0.0000 0.0000
0.0000 5.3351 0.0000
0.0000 0.0000 5.3679
Al Cd Sb Te
1 1 2 1
Direct
0.0000 0.0000 0.0000
0.5000 0.5000 0.5000
0.0000 0.5000 0.0000
0.5000 0.0000 0.0000
0.0000 0.0000 0.5000
```

Distance to the lowest polymorph of the same formula, meV/atom: 0
Total energy, eV/cell: -13.86
Uncorrected formation energy, kJ per mole of atoms: 42.1
Volume, Å³/cell: 153
Fermi-level density of states, states/eV per cell: 5.2
Total magnetization, μB per formula unit: 0.000

The following is a DFT calculation (PBE-GGA) of a relaxed structure of Sc9Al2Cd.

Cell and atoms, written as POSCAR:
```
Sc9Al2Cd
1.0
4.4523 0.0000 0.0000
0.0000 4.4523 0.0000
0.0000 0.0000 13.3712
Sc Al Cd
9 2 1
Direct
0.0000 0.0000 0.0000
0.0000 0.0000 0.3356
0.0000 0.0000 0.6644
0.0000 0.5000 0.1731
0.0000 0.5000 0.5000
0.0000 0.5000 0.8269
0.5000 0.0000 0.1731
0.5000 0.0000 0.5000
0.5000 0.0000 0.8269
0.5000 0.5000 0.3348
0.5000 0.5000 0.6652
0.5000 0.5000 0.0000
```

Total energy, eV/cell: -67.87
Formation energy from the elements, eV/atom: -0.21
Volume, Å³/cell: 265
Fermi-level density of states, states/eV per cell: 16.6
Total magnetization, μB per formula unit: 2.316

The following is a DFT calculation (PBE-GGA) of a relaxed structure of Sc5Al2Cd2.

Cell and atoms, written as POSCAR:
```
Sc5Al2Cd2
1.0
7.7771 -3.6334 0.0000
7.7771 3.6334 0.0000
0.0000 0.0000 7.2401
Sc Al Cd
10 4 4
Direct
0.0000 0.0000 0.0000
0.0544 0.6889 0.6774
0.1889 0.5544 0.1774
0.3111 0.9456 0.6774
0.4456 0.8111 0.1774
0.5000 0.5000 0.5000
0.5544 0.1889 0.8226
0.6889 0.0544 0.3226
0.8111 0.4456 0.8226
0.9456 0.3111 0.3226
0.1234 0.8766 0.3754
0.3766 0.6234 0.8754
0.6234 0.3766 0.1246
0.8766 0.1234 0.6246
0.2194 0.2194 0.0000
0.2806 0.2806 0.5000
0.7194 0.7194 0.5000
0.7806 0.7806 0.0000
```

Total energy, eV/cell: -86.47
Formation energy from the elements, eV/atom: -0.25
Volume, Å³/cell: 409
Fermi-level density of states, states/eV per cell: 13.1
Total magnetization, μB per formula unit: 0.000

The following is a DFT calculation (PBE-GGA) of a relaxed structure of ScAlCd2.

Cell and atoms, written as POSCAR:
```
ScAlCd2
1.0
4.4450 0.0000 0.0000
0.0000 4.4450 0.0000
0.0000 0.0000 8.4303
Sc Al Cd
2 2 4
Direct
0.0000 0.0000 0.0000
0.5000 0.5000 0.5000
0.0000 0.5000 0.7500
0.5000 0.0000 0.2500
0.0000 0.0000 0.5000
0.0000 0.5000 0.2500
0.5000 0.0000 0.7500
0.5000 0.5000 0.0000
```

Total energy, eV/cell: -24.70
Formation energy from the elements, eV/atom: -0.11
Volume, Å³/cell: 167
Fermi-level density of states, states/eV per cell: 5.5
Total magnetization, μB per formula unit: 0.000

The following is a DFT calculation (PBE-GGA) of a relaxed structure of Sc2AlCd.

Cell and atoms, written as POSCAR:
```
Sc2AlCd
1.0
3.1946 0.0000 0.0000
-1.5973 2.7666 0.0000
0.0000 0.0000 29.8788
Sc Al Cd
6 3 3
Direct
0.0000 0.0000 0.0000
0.0000 0.0000 0.2463
0.3333 0.6667 0.6667
0.3333 0.6667 0.9130
0.6667 0.3333 0.3333
0.6667 0.3333 0.5796
0.0000 0.0000 0.7474
0.3333 0.6667 0.4141
0.6667 0.3333 0.0808
0.0000 0.0000 0.4936
0.3333 0.6667 0.1603
0.6667 0.3333 0.8269
```

Distance to the lowest polymorph of the same formula, meV/atom: 325
Total energy, eV/cell: -52.52
Formation energy from the elements, eV/atom: -0.05
Volume, Å³/cell: 264
Fermi-level density of states, states/eV per cell: 11.1
Total magnetization, μB per formula unit: 0.560

The following is a DFT calculation (PBE-GGA) of a relaxed structure of Sc2AlCd.

Cell and atoms, written as POSCAR:
```
Sc2AlCd
1.0
9.6094 0.0000 0.0000
0.0000 3.2943 0.0000
-1.1391 0.0000 5.5782
Sc Al Cd
4 2 2
Direct
0.2459 0.0000 0.2379
0.2541 0.5000 0.7621
0.7459 0.5000 0.2379
0.7541 0.0000 0.7621
0.0000 0.5000 0.0000
0.5000 0.0000 0.0000
0.0000 0.0000 0.5000
0.5000 0.5000 0.5000
```

Distance to the lowest polymorph of the same formula, meV/atom: 195
Total energy, eV/cell: -36.05
Formation energy from the elements, eV/atom: -0.18
Volume, Å³/cell: 177
Fermi-level density of states, states/eV per cell: 4.3
Total magnetization, μB per formula unit: 0.000